# 1
Entry from Alexandria via LeMat-Bulk: a geometry-optimized Er3Tm4Mg structure (GGA-PBE).

POSCAR file:
```
Er3Tm4Mg
1.0
-0.625 -1.267 -3.036
-4.273 -3.198 2.214
-6.882 10.630 -1.171
Tm Er Mg
4 3 1
Direct
0.898 0.804 0.796
0.718 0.237 0.436
0.102 0.196 0.204
0.282 0.763 0.564
0.151 0.715 0.301
0.000 0.500 0.000
0.849 0.285 0.699
0.500 0.000 0.000
```

Summary:
VASP energy: -3.91 eV per atom
total moment: 0.0 μB per cell
SG: C2/m
ΔE_f: 0.239 eV/atom



# 2
Entry from Alexandria via LeMat-Bulk: a geometry-optimized Er3Tm2Mg3 structure (GGA-PBE).

POSCAR file:
```
Er3Tm2Mg3
1.0
3.702 0.000 0.000
0.000 5.375 0.000
-1.851 -2.687 11.089
Er Mg Tm
3 3 2
Direct
0.627 0.627 0.253
0.373 0.373 0.747
0.500 0.000 0.000
0.883 0.883 0.766
0.000 0.500 0.000
0.117 0.117 0.234
0.265 0.765 0.530
0.735 0.235 0.470
```

Summary:
VASP energy: -3.48 eV per atom
total moment: 0.0 μB per cell
SG: Immm
ΔE_f: -0.049 eV/atom



# 3
Entry from Alexandria via LeMat-Bulk: a geometry-optimized Er7Tm12Mg structure (GGA-PBE).

POSCAR file:
```
Er7Tm12Mg
1.0
-4.785 -4.473 -5.506
1.658 -7.485 3.801
-6.977 0.347 4.943
Tm Er Mg
12 7 1
Direct
0.137 0.498 0.618
0.263 0.145 0.750
0.855 0.250 0.737
0.498 0.618 0.137
0.145 0.750 0.263
0.618 0.137 0.498
0.382 0.863 0.502
0.737 0.855 0.250
0.750 0.263 0.145
0.250 0.737 0.855
0.863 0.502 0.382
0.502 0.382 0.863
0.151 0.398 0.073
0.849 0.602 0.927
0.398 0.073 0.151
0.927 0.849 0.602
0.500 0.500 0.500
0.602 0.927 0.849
0.073 0.151 0.398
0.000 0.000 0.000
```

Summary:
VASP energy: -4.14 eV per atom
total moment: 0.0 μB per cell
SG: R-3
ΔE_f: 0.222 eV/atom



# 4
Entry from Alexandria via LeMat-Bulk: a geometry-optimized Er3Tm2Mg4 structure (GGA-PBE).

POSCAR file:
```
Er3Tm2Mg4
1.0
5.593 -0.435 -0.312
-0.355 9.726 0.037
-0.355 3.169 9.196
Mg Er Tm
8 6 4
Direct
0.702 0.523 0.252
0.463 0.076 0.819
0.537 0.924 0.181
0.202 0.252 0.523
0.798 0.748 0.477
0.963 0.819 0.076
0.298 0.477 0.748
0.037 0.181 0.924
0.750 0.382 0.618
0.598 0.280 0.034
0.402 0.720 0.966
0.902 0.966 0.720
0.250 0.618 0.382
0.098 0.034 0.280
0.650 0.172 0.387
0.150 0.387 0.172
0.350 0.828 0.613
0.850 0.613 0.828
```

Summary:
VASP energy: -3.17 eV per atom
total moment: 0.0 μB per cell
SG: C2/c
ΔE_f: 0.050 eV/atom